[1]
Below is a relaxed NbReSn3 crystal, with properties calculated at the PBE level.

a b c (Å): 5.350 5.350 5.350
angles (deg): 90.00 90.00 90.00
Space group Pm-3m (No. 221)
Inequivalent atoms, fractional coordinates:
1 Nb 0.000 0.000 0.000
2 Re 0.500 0.500 0.500
3 Sn 0.000 0.000 0.500

## Properties
Final energy, eV per atom: -5.455
Total magnetization, μB/atom: 1.185
Energy relative to the elements, eV per atom: 1.45

***

[2]
Below is a relaxed DyY12Er7 crystal, with properties calculated at the PBE level.

a b c (Å): 18.5691 18.5691 6.6814
angles (deg): 90.00 90.00 120.00
Space group R-3 (No. 148, hexagonal axes)
Inequivalent atoms, fractional coordinates:
1 Dy 0.0000 0.0000 0.0000
2 Y 0.0006 0.2099 0.2930
3 Y 0.0078 0.5379 0.7374
4 Er 0.0000 0.0000 0.5000
5 Er 0.0102 0.1557 0.7889

## Properties
Energy above the lowest structure with this stoichiometry, eV per atom: 0.047
Final energy, eV per atom: -5.370
Total magnetization, μB/atom: 0.000
Energy relative to the elements, eV per atom: 0.34

***

[3]
Below is a relaxed Na2LaDyS4 crystal, with properties calculated at the PBE level.

a b c (Å): 7.077 4.107 7.122
angles (deg): 90.00 109.57 90.00
Space group P2/m (No. 10)
Inequivalent atoms, fractional coordinates:
1 Na 0.000 0.000 0.000
2 Na 0.000 0.500 0.500
3 La 0.500 0.000 0.500
4 Dy 0.500 0.500 0.000
5 S 0.268 0.500 0.244
6 S 0.272 0.000 0.768

## Properties
ΔE_f (raw), eV per atom: -1.84
Final energy, eV per atom: -5.428
Total magnetization, μB/atom: 0.000

***

[4]
Below is a relaxed Tb4GaSi crystal, with properties calculated at the PBE level.

a b c (Å): 5.239 20.957 6.202
angles (deg): 90.00 90.00 90.00
Space group Cmcm (No. 63)
Inequivalent atoms, fractional coordinates:
1 Tb 0.000 0.060 0.250
2 Tb 0.000 0.204 0.005
3 Tb 0.000 0.379 0.250
4 Ga 0.000 0.075 0.750
5 Si 0.000 0.337 0.750

## Properties
ΔE_f (raw), eV per atom: -0.23
Final energy, eV per atom: -4.728
Total magnetization, μB/atom: 0.000

***

[5]
Below is a relaxed Co2HgOs crystal, with properties calculated at the PBE level.

a b c (Å): 8.937 2.734 4.717
angles (deg): 90.00 102.14 90.00
Space group Cm (No. 8)
Inequivalent atoms, fractional coordinates:
1 Co 0.000 0.000 0.000
2 Co 0.232 0.500 0.257
3 Hg 0.492 0.000 0.497
4 Os 0.261 0.000 0.830

## Properties
Final energy, eV per atom: -5.899
Total magnetization, μB/atom: 0.543
Energy relative to the elements, eV per atom: 0.54

***

[6]
Below is a relaxed NaYMgPb crystal, with properties calculated at the PBE level.

a b c (Å): 7.592 7.592 7.592
angles (deg): 90.00 90.00 90.00
Space group F-43m (No. 216)
Inequivalent atoms, fractional coordinates:
1 Na 0.000 0.000 0.000
2 Y 0.000 0.000 0.500
3 Mg 0.250 0.250 0.250
4 Pb 0.250 0.250 0.750

## Properties
Final energy, eV per atom: -3.440
Total magnetization, μB/atom: 0.000
Energy relative to the elements, eV per atom: -0.17

***

[7]
Below is a relaxed ThAsS4Br crystal, with properties calculated at the PBE level.

a b c (Å): 11.345 8.936 8.175
angles (deg): 90.00 104.20 90.00
Space group C2/m (No. 12)
Inequivalent atoms, fractional coordinates:
1 Th 0.218 0.000 0.122
2 As 0.139 0.500 0.278
3 S 0.044 0.500 0.690
4 S 0.176 0.320 0.099
5 S 0.221 0.000 0.487
6 Br 0.023 0.000 0.796

## Properties
ΔE_f (raw), eV per atom: -0.81
Final energy, eV per atom: -5.133
Total magnetization, μB/atom: 0.000